! BaAcMgTl (GGA-PBE, optimized geometry); values from VASP
&SYSTEM
  ibrav = 0, nat = 4, ntyp = 4
/
ATOMIC_SPECIES
Ba 137.33 Ba.upf
Ac 227.00 Ac.upf
Mg 24.30 Mg.upf
Tl 204.38 Tl.upf
ATOMIC_POSITIONS crystal
Ba 0.0000 0.0000 0.0000
Ac 0.0000 0.0000 0.5092
Mg 0.5000 0.5000 0.2775
Tl 0.5000 0.5000 0.7325
CELL_PARAMETERS angstrom
4.2056 0.0000 0.0000
0.0000 4.2056 0.0000
0.0000 0.0000 8.5457
! electronic total energy: -10.87 eV for the cell shown
! calculated volume: 151 Å³/cell
! Fermi-level density of states: 4.207 states/eV/cell
! symmetry: P4mm
! formation energy: -0.2205 eV per atom
! E above lowest polymorph: 0 meV/atom